Record 1
{
  "formula": "Lu2HgH",
  "functional": "PBE-GGA",
  "state": "relaxed",
  "cell": [[3.536, 0.000, 0.000], [-1.768, 3.062, 0.000], [0.000, 0.000, 22.315]],
  "species": ["Lu", "Lu", "Lu", "Lu", "Lu", "Lu", "Hg", "Hg", "Hg", "H", "H", "H"],
  "frac_coords": [[0.000, 0.000, 0.226], [0.000, 0.000, 0.774], [0.333, 0.667, 0.441], [0.333, 0.667, 0.893], [0.667, 0.333, 0.107], [0.667, 0.333, 0.559], [0.000, 0.000, 0.000], [0.333, 0.667, 0.667], [0.667, 0.333, 0.333], [0.000, 0.000, 0.500], [0.333, 0.667, 0.167], [0.667, 0.333, 0.833]],
  "m_tot_mub_per_atom": 0.000,
  "dos_at_fermi_per_ev_cell": 8.9,
  "final_energy_ev_per_atom": -3.48
}

***

Record 2
{
  "formula": "Mg5Hg6H",
  "functional": "PBE-GGA",
  "state": "relaxed",
  "cell": [[4.877, 0.000, 0.000], [0.973, 6.130, 0.000], [0.176, 0.207, 8.521]],
  "species": ["Mg", "Mg", "Mg", "Mg", "Mg", "Hg", "Hg", "Hg", "Hg", "Hg", "Hg", "H"],
  "frac_coords": [[0.000, 0.000, 0.000], [0.142, 0.449, 0.205], [0.225, 0.928, 0.366], [0.775, 0.072, 0.634], [0.858, 0.551, 0.795], [0.242, 0.334, 0.551], [0.309, 0.808, 0.720], [0.455, 0.263, 0.909], [0.545, 0.737, 0.091], [0.691, 0.192, 0.280], [0.758, 0.666, 0.449], [0.000, 0.500, 0.000]],
  "m_tot_mub_per_atom": 0.000,
  "dos_at_fermi_per_ev_cell": 4.1,
  "final_energy_ev_per_atom": -1.18
}

***

Record 3
{
  "formula": "MgHg4H2",
  "functional": "PBE-GGA",
  "state": "relaxed",
  "cell": [[3.282, 0.000, 0.000], [0.990, 6.489, 0.000], [1.075, 0.877, 7.158]],
  "species": ["Mg", "Hg", "Hg", "Hg", "Hg", "H", "H"],
  "frac_coords": [[0.000, 0.000, 0.000], [0.129, 0.579, 0.207], [0.350, 0.097, 0.299], [0.650, 0.903, 0.701], [0.871, 0.421, 0.793], [0.303, 0.828, 0.534], [0.697, 0.172, 0.466]],
  "m_tot_mub_per_atom": 0.000,
  "dos_at_fermi_per_ev_cell": 0.2,
  "final_energy_ev_per_atom": -1.16
}

***

Record 4
{
  "formula": "Mg2HgH2",
  "functional": "PBE-GGA",
  "state": "relaxed",
  "cell": [[3.297, 0.000, 0.000], [0.000, 3.297, 0.000], [0.000, 0.000, 12.759]],
  "species": ["Mg", "Mg", "Mg", "Mg", "Hg", "Hg", "H", "H", "H", "H"],
  "frac_coords": [[0.000, 0.000, 0.158], [0.000, 0.000, 0.842], [0.500, 0.500, 0.342], [0.500, 0.500, 0.658], [0.000, 0.000, 0.500], [0.500, 0.500, 0.000], [0.000, 0.500, 0.250], [0.000, 0.500, 0.750], [0.500, 0.000, 0.250], [0.500, 0.000, 0.750]],
  "m_tot_mub_per_atom": 0.000,
  "dos_at_fermi_per_ev_cell": 2.0,
  "final_energy_ev_per_atom": -2.17
}

***

Record 5
{
  "formula": "Mg6HgH12",
  "functional": "PBE-GGA",
  "state": "relaxed",
  "cell": [[4.759, 2.748, 2.425], [-4.759, 2.748, 2.425], [0.000, -5.495, 2.425]],
  "species": ["Mg", "Mg", "Mg", "Mg", "Mg", "Mg", "Hg", "H", "H", "H", "H", "H", "H", "H", "H", "H", "H", "H", "H"],
  "frac_coords": [[0.238, 0.238, 0.626], [0.238, 0.626, 0.238], [0.374, 0.762, 0.762], [0.626, 0.238, 0.238], [0.762, 0.374, 0.762], [0.762, 0.762, 0.374], [0.000, 0.000, 0.000], [0.131, 0.500, 0.869], [0.131, 0.869, 0.500], [0.177, 0.466, 0.466], [0.466, 0.177, 0.466], [0.466, 0.466, 0.177], [0.500, 0.131, 0.869], [0.500, 0.869, 0.131], [0.534, 0.534, 0.823], [0.534, 0.823, 0.534], [0.823, 0.534, 0.534], [0.869, 0.131, 0.500], [0.869, 0.500, 0.131]],
  "m_tot_mub_per_atom": 0.000,
  "dos_at_fermi_per_ev_cell": 0.0,
  "final_energy_ev_per_atom": -2.71
}

***

Record 6
{
  "formula": "Mg12Hg3H5",
  "functional": "PBE-GGA",
  "state": "relaxed",
  "cell": [[-7.081, 7.081, 7.081], [7.081, -7.081, 7.081], [7.081, 7.081, -7.081]],
  "species": ["Mg", "Mg", "Mg", "Mg", "Mg", "Mg", "Mg", "Mg", "Mg", "Mg", "Mg", "Mg", "Mg", "Mg", "Mg", "Mg", "Mg", "Mg", "Mg", "Mg", "Mg", "Mg", "Mg", "Mg", "Mg", "Mg", "Mg", "Mg", "Mg", "Mg", "Mg", "Mg", "Mg", "Mg", "Mg", "Mg", "Mg", "Mg", "Mg", "Mg", "Mg", "Mg", "Mg", "Mg", "Mg", "Mg", "Mg", "Mg", "Hg", "Hg", "Hg", "Hg", "Hg", "Hg", "Hg", "Hg", "Hg", "Hg", "Hg", "Hg", "H", "H", "H", "H", "H", "H", "H", "H", "H", "H", "H", "H", "H", "H", "H", "H", "H", "H", "H", "H"],
  "frac_coords": [[0.012, 0.202, 0.109], [0.012, 0.310, 0.903], [0.093, 0.702, 0.690], [0.093, 0.891, 0.403], [0.097, 0.609, 0.407], [0.097, 0.988, 0.690], [0.109, 0.012, 0.202], [0.109, 0.597, 0.907], [0.190, 0.202, 0.593], [0.190, 0.488, 0.597], [0.202, 0.109, 0.012], [0.202, 0.593, 0.190], [0.298, 0.310, 0.907], [0.298, 0.488, 0.391], [0.310, 0.903, 0.012], [0.310, 0.907, 0.298], [0.391, 0.298, 0.488], [0.391, 0.593, 0.903], [0.403, 0.093, 0.891], [0.403, 0.810, 0.512], [0.407, 0.097, 0.609], [0.407, 0.810, 0.798], [0.488, 0.391, 0.298], [0.488, 0.597, 0.190], [0.512, 0.403, 0.810], [0.512, 0.609, 0.702], [0.593, 0.190, 0.202], [0.593, 0.903, 0.391], [0.597, 0.190, 0.488], [0.597, 0.907, 0.109], [0.609, 0.407, 0.097], [0.609, 0.702, 0.512], [0.690, 0.093, 0.702], [0.690, 0.097, 0.988], [0.702, 0.512, 0.609], [0.702, 0.690, 0.093], [0.798, 0.407, 0.810], [0.798, 0.891, 0.988], [0.810, 0.512, 0.403], [0.810, 0.798, 0.407], [0.891, 0.403, 0.093], [0.891, 0.988, 0.798], [0.903, 0.012, 0.310], [0.903, 0.391, 0.593], [0.907, 0.109, 0.597], [0.907, 0.298, 0.310], [0.988, 0.690, 0.097], [0.988, 0.798, 0.891], [0.125, 0.250, 0.375], [0.125, 0.375, 0.750], [0.250, 0.375, 0.125], [0.250, 0.875, 0.625], [0.375, 0.125, 0.250], [0.375, 0.750, 0.125], [0.625, 0.250, 0.875], [0.625, 0.875, 0.750], [0.750, 0.125, 0.375], [0.750, 0.625, 0.875], [0.875, 0.625, 0.250], [0.875, 0.750, 0.625], [0.000, 0.000, 0.000], [0.000, 0.000, 0.500], [0.000, 0.500, 0.000], [0.000, 0.500, 0.500], [0.125, 0.750, 0.875], [0.125, 0.875, 0.250], [0.250, 0.125, 0.875], [0.250, 0.625, 0.375], [0.375, 0.250, 0.625], [0.375, 0.625, 0.750], [0.500, 0.000, 0.000], [0.500, 0.000, 0.500], [0.500, 0.500, 0.000], [0.500, 0.500, 0.500], [0.625, 0.375, 0.250], [0.625, 0.750, 0.375], [0.750, 0.375, 0.625], [0.750, 0.875, 0.125], [0.875, 0.125, 0.750], [0.875, 0.250, 0.125]],
  "m_tot_mub_per_atom": 0.000,
  "dos_at_fermi_per_ev_cell": 32.4,
  "final_energy_ev_per_atom": -1.87
}

***

Record 7
{
  "formula": "MgHgH3",
  "functional": "PBE-GGA",
  "state": "relaxed",
  "cell": [[3.894, 0.000, 0.000], [0.000, 3.894, 0.000], [0.000, 0.000, 3.894]],
  "species": ["Mg", "Hg", "H", "H", "H"],
  "frac_coords": [[0.000, 0.000, 0.000], [0.500, 0.500, 0.500], [0.000, 0.000, 0.500], [0.000, 0.500, 0.000], [0.500, 0.000, 0.000]],
  "m_tot_mub_per_atom": 0.000,
  "dos_at_fermi_per_ev_cell": 0.8,
  "final_energy_ev_per_atom": -2.07
}

***

Record 8
{
  "formula": "Mg2HgH6",
  "functional": "PBE-GGA",
  "state": "relaxed",
  "cell": [[0.000, 3.438, 3.438], [3.438, 0.000, 3.438], [3.438, 3.438, 0.000]],
  "species": ["Mg", "Mg", "Hg", "H", "H", "H", "H", "H", "H"],
  "frac_coords": [[0.250, 0.250, 0.250], [0.750, 0.750, 0.750], [0.000, 0.000, 0.000], [0.295, 0.295, 0.705], [0.295, 0.705, 0.295], [0.295, 0.705, 0.705], [0.705, 0.295, 0.295], [0.705, 0.295, 0.705], [0.705, 0.705, 0.295]],
  "m_tot_mub_per_atom": 0.000,
  "dos_at_fermi_per_ev_cell": 0.6,
  "final_energy_ev_per_atom": -2.13
}

***

Record 9
{
  "formula": "MgHgH3",
  "functional": "PBE-GGA",
  "state": "relaxed",
  "cell": [[3.991, 0.000, 0.000], [0.000, 3.991, 0.000], [0.000, 0.000, 3.991]],
  "species": ["Mg", "Hg", "H", "H", "H"],
  "frac_coords": [[0.000, 0.000, 0.000], [0.500, 0.500, 0.500], [0.000, 0.500, 0.500], [0.500, 0.000, 0.500], [0.500, 0.500, 0.000]],
  "m_tot_mub_per_atom": 0.000,
  "dos_at_fermi_per_ev_cell": 1.8,
  "final_energy_ev_per_atom": -1.84
}

***

Record 10
{
  "formula": "MgHgMoH2",
  "functional": "PBE-GGA",
  "state": "relaxed",
  "cell": [[3.887, 0.000, 0.000], [0.000, 3.887, 0.000], [0.000, 0.000, 5.912]],
  "species": ["Mg", "Hg", "Mo", "H", "H"],
  "frac_coords": [[0.000, 0.000, 0.000], [0.000, 0.000, 0.500], [0.500, 0.500, 0.500], [0.000, 0.500, 0.000], [0.500, 0.000, 0.000]],
  "m_tot_mub_per_atom": 0.745,
  "dos_at_fermi_per_ev_cell": 1.9,
  "final_energy_ev_per_atom": -2.99
}

***

Record 11
{
  "formula": "Na2MgHgH",
  "functional": "PBE-GGA",
  "state": "relaxed",
  "cell": [[4.572, 0.000, 0.000], [0.000, 4.572, 0.000], [0.000, 0.000, 4.701]],
  "species": ["Na", "Na", "Mg", "Hg", "H"],
  "frac_coords": [[0.000, 0.500, 0.000], [0.500, 0.000, 0.000], [0.000, 0.000, 0.500], [0.500, 0.500, 0.500], [0.000, 0.000, 0.000]],
  "m_tot_mub_per_atom": 0.000,
  "dos_at_fermi_per_ev_cell": 1.6,
  "final_energy_ev_per_atom": -1.66
}

***

Record 12
{
  "formula": "MgHgH2O",
  "functional": "PBE-GGA",
  "state": "relaxed",
  "cell": [[3.384, 0.000, 0.000], [0.000, 3.384, 0.000], [0.000, 0.000, 6.067]],
  "species": ["Mg", "Hg", "H", "H", "O"],
  "frac_coords": [[0.000, 0.000, 0.000], [0.500, 0.500, 0.500], [0.000, 0.500, 0.500], [0.500, 0.000, 0.500], [0.500, 0.500, 0.000]],
  "m_tot_mub_per_atom": 0.000,
  "dos_at_fermi_per_ev_cell": 0.5,
  "final_energy_ev_per_atom": -2.96
}

***

Record 13
{
  "formula": "MgHg2HOs",
  "functional": "PBE-GGA",
  "state": "relaxed",
  "cell": [[5.253, 0.000, 0.000], [0.000, 5.253, 0.000], [0.000, 0.000, 5.095]],
  "species": ["Mg", "Hg", "Hg", "H", "Os"],
  "frac_coords": [[0.000, 0.000, 0.000], [0.000, 0.500, 0.500], [0.500, 0.000, 0.500], [0.500, 0.500, 0.000], [0.000, 0.000, 0.500]],
  "m_tot_mub_per_atom": 0.313,
  "dos_at_fermi_per_ev_cell": 4.5,
  "final_energy_ev_per_atom": -2.28
}

***

Record 14
{
  "formula": "Mg4HgHPb",
  "functional": "PBE-GGA",
  "state": "relaxed",
  "cell": [[3.080, -7.579, 0.000], [3.080, 7.579, 0.000], [0.000, 0.000, 6.163]],
  "species": ["Mg", "Mg", "Mg", "Mg", "Mg", "Mg", "Mg", "Mg", "Hg", "Hg", "H", "H", "Pb", "Pb"],
  "frac_coords": [[0.000, 0.500, 0.000], [0.000, 0.500, 0.500], [0.072, 0.928, 0.750], [0.409, 0.591, 0.750], [0.500, 0.000, 0.000], [0.500, 0.000, 0.500], [0.591, 0.409, 0.250], [0.928, 0.072, 0.250], [0.115, 0.885, 0.250], [0.885, 0.115, 0.750], [0.263, 0.737, 0.750], [0.737, 0.263, 0.250], [0.394, 0.606, 0.250], [0.606, 0.394, 0.750]],
  "m_tot_mub_per_atom": 0.000,
  "dos_at_fermi_per_ev_cell": 5.2,
  "final_energy_ev_per_atom": -2.03
}

***

Record 15
{
  "formula": "MgHgHPd2",
  "functional": "PBE-GGA",
  "state": "relaxed",
  "cell": [[4.090, 0.000, 0.000], [0.000, 4.090, 0.000], [0.000, 0.000, 4.201]],
  "species": ["Mg", "Hg", "H", "Pd", "Pd"],
  "frac_coords": [[0.000, 0.000, 0.000], [0.500, 0.500, 0.000], [0.000, 0.000, 0.500], [0.000, 0.500, 0.500], [0.500, 0.000, 0.500]],
  "m_tot_mub_per_atom": 0.000,
  "dos_at_fermi_per_ev_cell": 1.0,
  "final_energy_ev_per_atom": -3.47
}

***

Record 16
{
  "formula": "Mg2HgHPd6",
  "functional": "PBE-GGA",
  "state": "relaxed",
  "cell": [[4.892, 0.000, 0.000], [0.854, 4.949, 0.000], [0.722, 1.625, 6.236]],
  "species": ["Mg", "Mg", "Hg", "H", "Pd", "Pd", "Pd", "Pd", "Pd", "Pd"],
  "frac_coords": [[0.000, 0.000, 0.000], [0.259, 0.131, 0.492], [0.128, 0.570, 0.746], [0.703, 0.590, 0.393], [0.350, 0.677, 0.297], [0.459, 0.235, 0.073], [0.555, 0.799, 0.859], [0.698, 0.326, 0.648], [0.797, 0.909, 0.420], [0.907, 0.451, 0.186]],
  "m_tot_mub_per_atom": 0.000,
  "dos_at_fermi_per_ev_cell": 3.9,
  "final_energy_ev_per_atom": -4.19
}

***

Record 17
{
  "formula": "MgHgHPd2",
  "functional": "PBE-GGA",
  "state": "relaxed",
  "cell": [[4.108, 0.000, 0.000], [0.000, 4.108, 0.000], [0.000, 0.000, 4.240]],
  "species": ["Mg", "Hg", "H", "Pd", "Pd"],
  "frac_coords": [[0.000, 0.000, 0.000], [0.500, 0.500, 0.000], [0.500, 0.500, 0.500], [0.000, 0.500, 0.500], [0.500, 0.000, 0.500]],
  "m_tot_mub_per_atom": 0.000,
  "dos_at_fermi_per_ev_cell": 1.0,
  "final_energy_ev_per_atom": -3.35
}

***

Record 18
{
  "formula": "Mg2HgHPd",
  "functional": "PBE-GGA",
  "state": "relaxed",
  "cell": [[4.590, 0.000, 0.000], [0.000, 4.590, 0.000], [0.000, 0.000, 3.622]],
  "species": ["Mg", "Mg", "Hg", "H", "Pd"],
  "frac_coords": [[0.000, 0.500, 0.000], [0.500, 0.000, 0.000], [0.000, 0.000, 0.500], [0.500, 0.500, 0.000], [0.500, 0.500, 0.500]],
  "m_tot_mub_per_atom": 0.000,
  "dos_at_fermi_per_ev_cell": 1.1,
  "final_energy_ev_per_atom": -2.75
}

***

Record 19
{
  "formula": "MgHgH2Pd5",
  "functional": "PBE-GGA",
  "state": "relaxed",
  "cell": [[3.978, 0.000, 0.000], [0.000, 3.978, 0.000], [0.000, 0.000, 8.168]],
  "species": ["Mg", "Hg", "H", "H", "Pd", "Pd", "Pd", "Pd", "Pd"],
  "frac_coords": [[0.000, 0.000, 0.000], [0.500, 0.500, 0.500], [0.000, 0.000, 0.264], [0.000, 0.000, 0.736], [0.000, 0.000, 0.500], [0.000, 0.500, 0.234], [0.000, 0.500, 0.766], [0.500, 0.000, 0.234], [0.500, 0.000, 0.766]],
  "m_tot_mub_per_atom": 0.000,
  "dos_at_fermi_per_ev_cell": 3.3,
  "final_energy_ev_per_atom": -4.01
}

***

Record 20
{
  "formula": "Mg2HgHPt",
  "functional": "PBE-GGA",
  "state": "relaxed",
  "cell": [[4.587, 0.000, 0.000], [0.000, 4.587, 0.000], [0.000, 0.000, 3.631]],
  "species": ["Mg", "Mg", "Hg", "H", "Pt"],
  "frac_coords": [[0.000, 0.500, 0.000], [0.500, 0.000, 0.000], [0.000, 0.000, 0.500], [0.500, 0.500, 0.000], [0.500, 0.500, 0.500]],
  "m_tot_mub_per_atom": 0.000,
  "dos_at_fermi_per_ev_cell": 1.1,
  "final_energy_ev_per_atom": -2.96
}